# CrCoNi2O6 PBE+U optimized geometry
data_CrCoNi2O6
_symmetry_space_group_name_H-M 'P 1'
_symmetry_Int_Tables_number 1
_symmetry_space_group_name_Hall 'P 1'
_cell_length_a 5.251
_cell_length_b 5.251
_cell_length_c 4.785
_cell_angle_alpha 90.00
_cell_angle_beta 90.00
_cell_angle_gamma 90.00
loop_
_atom_site_label
_atom_site_type_symbol
_atom_site_fract_x
_atom_site_fract_y
_atom_site_fract_z
Cr1 Cr 0.000 0.000 0.000
Co1 Co 0.500 0.500 0.961
Ni1 Ni 0.000 0.500 0.216
Ni2 Ni 0.500 0.000 0.216
O1 O 0.000 0.000 0.667
O2 O 0.241 0.241 0.136
O3 O 0.241 0.759 0.136
O4 O 0.500 0.500 0.613
O5 O 0.759 0.241 0.136
O6 O 0.759 0.759 0.136
# - final energy (eV/atom) = -5.52
# - magnetic moment (μB/cell) = 5.000
# - space-group type = P4mm